# 1
8
Lattice="-4.1487 -2.1112 0.3774 1.2117 -2.9854 -3.3809 4.7502 -2.8398 7.4357" Properties=species:S:1:pos:R:3 comment="CaAl2Re | the Alexandria database | GGA-PBEsol | relaxed" e_form_ev_per_atom=0.64 sg="No. 122" density_g_cm3=4.93 e_above_lowest_polymorph_mev_per_atom=719.9 e_tot_ev_per_atom=-5.276 pbc="T T T"
Al 1.5170 -1.8930 0.6025
Re 2.2467 -4.1867 1.2765
Al 1.3355 -3.7864 -1.0164
Al 4.2193 -5.2893 2.3449
Al 1.9150 -5.7783 3.1752
Ca -1.4685 -2.5483 -1.5017
Re 0.0000 0.0000 0.0000
Ca -0.4335 -3.7496 3.1557



# 2
6
Lattice="4.9474 0.0000 0.0000 2.4737 4.2846 0.0000 2.4737 1.4282 4.0395" Properties=species:S:1:pos:R:3 comment="ErNi2 | the Alexandria database | GGA-PBEsol | relaxed" e_form_ev_per_atom=-0.51 sg="No. 227" density_g_cm3=11.04 e_tot_ev_per_atom=-6.254 pbc="T T T"
Ni 2.4737 2.8564 0.5049
Er 4.9474 2.8564 2.0198
Ni 3.7105 0.7141 0.5049
Ni 1.2368 0.7141 0.5049
Er 7.4211 4.2846 3.0296
Ni 2.4737 1.4282 2.5247



# 3
5
Lattice="4.7589 0.0000 0.0000 0.0000 4.6330 0.0000 0.0000 0.0000 4.6330" Properties=species:S:1:pos:R:3 comment="MnCrSCl2 | the Alexandria database | GGA-PBEsol | relaxed" sg="No. 123" raw_formation_energy_ev_per_atom=-0.0376 density_g_cm3=3.41 e_tot_ev_per_atom=-5.718 pbc="T T T"
Cl 0.0000 0.0000 2.3165
S 2.3794 0.0000 0.0000
Mn 0.0000 0.0000 0.0000
Cl 0.0000 2.3165 0.0000
Cr 2.3794 2.3165 2.3165



# 4
4
Lattice="-2.0302 -3.0240 -1.9221 2.0380 -3.3140 -1.3508 -0.5205 -3.6372 1.8602" Properties=species:S:1:pos:R:3 comment="MnCr2Rh | the Alexandria database | GGA-PBEsol | relaxed" e_form_ev_per_atom=0.12 sg="No. 216" density_g_cm3=8.80 e_above_lowest_polymorph_mev_per_atom=14.6 e_tot_ev_per_atom=-9.478 pbc="T T T"
Rh -0.1282 -2.4938 -0.3532
Cr 0.0000 0.0000 0.0000
Cr -0.3846 -7.4814 -1.0595
Mn -0.2564 -4.9876 -0.7063



# 5
7
Lattice="-1.5061 2.7787 -2.9582 -2.3486 -3.1700 -1.7819 -3.3876 1.7772 6.5616" Properties=species:S:1:pos:R:3 comment="Rb2UO4 | the Alexandria database | GGA-PBEsol | relaxed" sg="No. 139" raw_formation_energy_ev_per_atom=-2.6420 density_g_cm3=6.03 e_tot_ev_per_atom=-7.671 pbc="T T T"
U 0.0000 0.0000 0.0000
O -1.1743 -1.5850 -0.8910
O -1.4845 0.4417 1.1707
O -5.7578 0.9441 0.6508
O -0.7530 1.3893 -1.4791
Rb -3.6823 1.0957 2.9040
Rb -3.5600 0.2901 -1.0825



# 6
4
Lattice="3.1846 0.0000 0.0000 0.0000 3.1846 0.0000 0.0000 0.0000 5.2155" Properties=species:S:1:pos:R:3 comment="AlCu | the Alexandria database | GGA-PBEsol | relaxed" e_form_ev_per_atom=-0.14 sg="No. 129" density_g_cm3=5.68 e_tot_ev_per_atom=-4.353 pbc="T T T"
Al 1.5923 0.0000 4.4440
Cu 0.0000 1.5923 3.2943
Al 0.0000 1.5923 0.7715
Cu 1.5923 0.0000 1.9212



# 7
5
Lattice="-1.5706 5.0306 0.0868 -5.0085 -1.5719 0.4751 0.4873 0.0600 5.3358" Properties=species:S:1:pos:R:3 comment="GeTe2RhI | the Alexandria database | GGA-PBEsol | relaxed" sg="No. 123" raw_formation_energy_ev_per_atom=1.0819 density_g_cm3=6.22 e_tot_ev_per_atom=-3.297 pbc="T T T"
Te -2.5042 -0.7860 0.2375
Te -0.7853 2.5153 0.0434
I 0.2436 0.0300 2.6679
Ge 0.0000 0.0000 0.0000
Rh -3.0459 1.7594 2.9489



# 8
9
Lattice="3.9142 0.0000 0.0000 1.9571 5.8346 0.0000 1.9571 0.0000 5.8346" Properties=species:S:1:pos:R:3 comment="Re4Pt5 | the Alexandria database | GGA-PBEsol | relaxed" e_form_ev_per_atom=-0.14 sg="No. 139" density_g_cm3=21.44 e_tot_ev_per_atom=-9.931 pbc="T T T"
Pt 1.9571 1.9874 0.0000
Re 3.9142 2.0263 2.0263
Pt 3.9142 3.8471 0.0000
Pt 3.9142 0.0000 3.8471
Re 3.9142 3.8082 3.8082
Re 1.9571 3.8082 2.0263
Pt 1.9571 0.0000 1.9874
Pt 0.0000 0.0000 0.0000
Re 1.9571 2.0263 3.8082